Arrangement one

This record from the Alexandria database describes crystalline Li2YGeBi at its relaxed geometry. The functional is GGA-PBE.

Structure (POSCAR):
```
Li2YGeBi
1.0
-1.6052 -3.9678 1.8669
5.5237 -1.6332 1.2784
-0.3429 2.0955 4.1589
Y Bi Li Ge
1 1 2 1
Direct
0.5000 0.5000 0.5000 Y
0.0000 0.5000 0.0000 Bi
0.5000 0.0000 0.0000 Li
0.0000 0.0000 0.5000 Li
0.0000 0.0000 0.0000 Ge
```

Properties
The size of the total moment comes out at 0.000 μB/atom. The calculation puts the density of states at the Fermi level at 2.6 states/eV/f.u. Its space group is P4/mmm (123).

Arrangement two

This record from the Alexandria database describes crystalline Li2YGeBi at its relaxed geometry. The functional is GGA-PBE.

Structure (POSCAR):
```
Li2YGeBi
1.0
4.8927 0.0000 0.0000
0.0000 6.0253 0.0000
0.0000 0.0000 4.8927
Li Bi Ge Y
2 1 1 1
Direct
0.0000 0.0000 0.5000 Li
0.5000 0.0000 0.0000 Li
0.0000 0.0000 0.0000 Bi
0.5000 0.5000 0.5000 Ge
0.0000 0.5000 0.0000 Y
```

Properties
The size of the total moment comes out at 0.000 μB/atom. The calculation puts the density of states at the Fermi level at 2.4 states/eV/f.u. Its space group is P4/mmm (123).

Pick the most stable structure from those above. Pick: arrangement one